Entry 1:
The following is a DFT calculation (PBEsol) of a relaxed In2SbPdPb crystal.

Final energy   -3.033 eV per atom
Crystal system   tetragonal
Formation energy without anion corrections   5.31 eV/f.u.

Cell: 5.541 5.541 5.661 Å, 90.00 90.00 90.00°
Fractional coordinates of all 5 atoms:
In  0.000  0.500  0.000
Pd  0.500  0.500  0.500
Sb  0.000  0.000  0.500
Pb  0.000  0.000  0.000
In  0.500  0.000  0.000


Entry 2:
The following is a DFT calculation (PBEsol) of a relaxed In5Pt2Pb4 crystal.

Energy of formation   -0.105 eV per atom
Final energy   -4.181 eV per atom
Crystal system   orthorhombic

Cell: 3.335 8.035 19.748 Å, 90.00 90.00 90.00°
Fractional coordinates of all 22 atoms:
Pb  0.500  0.337  0.554
Pb  0.500  0.163  0.054
In  0.000  0.500  0.000
Pt  0.500  0.358  0.285
Pb  0.500  0.501  0.151
In  0.000  0.331  0.398
Pt  0.500  0.642  0.715
In  0.000  0.831  0.102
In  0.000  0.357  0.711
Pb  0.500  0.837  0.946
Pb  0.500  0.999  0.651
In  0.000  0.143  0.211
In  0.000  0.000  0.500
Pt  0.500  0.142  0.785
Pt  0.500  0.858  0.215
In  0.000  0.169  0.898
In  0.000  0.669  0.602
Pb  0.500  0.001  0.349
In  0.000  0.857  0.789
Pb  0.500  0.663  0.446
In  0.000  0.643  0.289
Pb  0.500  0.499  0.849


Entry 3:
The following is a DFT calculation (PBEsol) of a relaxed InPt3Pb crystal.

Energy of formation   0.818 eV per atom
Final energy   -4.757 eV per atom
Crystal system   cubic

Cell: 4.913 4.913 4.913 Å, 90.00 90.00 90.00°
Fractional coordinates of all 5 atoms:
Pt  0.500  0.000  0.000
Pb  0.500  0.500  0.500
In  0.000  0.000  0.000
Pt  0.000  0.000  0.500
Pt  0.000  0.500  0.000


Entry 4:
The following is a DFT calculation (PBEsol) of a relaxed InPtPb2 crystal.

Energy of formation   -0.023 eV per atom
Final energy   -4.509 eV per atom
Crystal system   trigonal

Cell: 3.797 3.797 8.513 Å, 77.11 77.11 60.00°
Fractional coordinates of all 4 atoms:
Pb  0.765  0.765  0.706
In  0.000  0.000  0.000
Pt  0.500  0.500  0.500
Pb  0.235  0.235  0.294


Entry 5:
The following is a DFT calculation (PBEsol) of a relaxed In2SiPtPb crystal.

Final energy   -4.276 eV per atom
Crystal system   tetragonal
Formation energy without anion corrections   1.29 eV/f.u.

Cell: 4.532 5.227 5.227 Å, 90.00 90.00 90.00°
Fractional coordinates of all 5 atoms:
In  0.000  0.500  0.000
In  0.000  0.000  0.500
Si  0.000  0.000  0.000
Pt  0.500  0.000  0.000
Pb  0.500  0.500  0.500


Entry 6:
The following is a DFT calculation (PBEsol) of a relaxed RbIn2Pb2 crystal.

Energy of formation   -0.129 eV per atom
Final energy   -3.126 eV per atom
Crystal system   tetragonal
Excess energy over the best structure of this formula in the dataset   0 meV per atom

Cell: 5.185 5.185 7.111 Å, 111.38 111.38 90.00°
Fractional coordinates of all 5 atoms:
In  0.384  0.384  0.767
Pb  0.750  0.250  0.500
In  0.616  0.616  0.233
Pb  0.250  0.750  0.500
Rb  0.000  0.000  0.000


Entry 7:
The following is a DFT calculation (PBEsol) of a relaxed RbIn2Pb2 crystal.

Energy of formation   -0.050 eV per atom
Final energy   -3.048 eV per atom
Crystal system   tetragonal
Excess energy over the best structure of this formula in the dataset   78 meV per atom

Cell: 3.514 9.437 9.437 Å, 90.00 90.00 90.00°
Fractional coordinates of all 10 atoms:
Pb  0.000  0.362  0.862
Rb  0.000  0.000  0.000
Pb  0.000  0.638  0.138
Rb  0.000  0.500  0.500
In  0.500  0.651  0.849
Pb  0.000  0.862  0.638
In  0.500  0.849  0.349
Pb  0.000  0.138  0.362
In  0.500  0.151  0.651
In  0.500  0.349  0.151


Entry 8:
The following is a DFT calculation (PBEsol) of a relaxed InRePb crystal.

Energy of formation   0.905 eV per atom
Final energy   -5.866 eV per atom
Crystal system   cubic

Cell: 4.583 4.583 4.583 Å, 60.00 60.00 60.00°
Fractional coordinates of all 3 atoms:
Pb  0.500  0.500  0.500
In  0.000  0.000  0.000
Re  0.750  0.750  0.750


Entry 9:
The following is a DFT calculation (PBEsol) of a relaxed InRe3Pb crystal.

Energy of formation   2.911 eV per atom
Final energy   -6.485 eV per atom
Crystal system   cubic

Cell: 4.840 4.840 4.840 Å, 90.00 90.00 90.00°
Each line ends with the local moment (μB).
Fractional coordinates of all 5 atoms:
In  0.000  0.000  0.000  0.00
Pb  0.500  0.500  0.500  0.01
Re  0.000  0.000  0.500  1.01
Re  0.500  0.000  0.000  1.01
Re  0.000  0.500  0.000  1.01


Entry 10:
The following is a DFT calculation (PBEsol) of a relaxed InRhPb3 crystal.

Energy of formation   1.243 eV per atom
Final energy   -3.380 eV per atom
Crystal system   cubic

Cell: 5.475 5.475 5.475 Å, 90.00 90.00 90.00°
Fractional coordinates of all 5 atoms:
Pb  0.500  0.000  0.000
Rh  0.500  0.500  0.500
Pb  0.000  0.000  0.500
Pb  0.000  0.500  0.000
In  0.000  0.000  0.000


Entry 11:
The following is a DFT calculation (PBEsol) of a relaxed InRh3PbS2 crystal.

Final energy   -6.221 eV per atom
Crystal system   trigonal
Formation energy without anion corrections   -3.38 eV/f.u.

Cell: 5.589 5.589 5.589 Å, 60.39 60.39 60.39°
Fractional coordinates of all 7 atoms:
Rh  0.500  0.000  0.500
Pb  0.500  0.500  0.500
S  0.216  0.216  0.216
Rh  0.500  0.500  0.000
In  0.000  0.000  0.000
S  0.784  0.784  0.784
Rh  0.000  0.500  0.500


Entry 12:
The following is a DFT calculation (PBEsol) of a relaxed In2RuPb crystal.

Energy of formation   0.326 eV per atom
Final energy   -4.708 eV per atom
Crystal system   monoclinic

Cell: 3.437 5.017 5.496 Å, 104.65 90.00 110.03°
Fractional coordinates of all 4 atoms:
Pb  0.000  0.000  0.500
In  0.772  0.543  0.798
In  0.228  0.457  0.202
Ru  0.500  0.000  0.000


Calculated volume across the listed records, respectively: 34.8 24.1 23.7 25.7 24.8 32.8 31.3 22.7 22.7 32.8 17.8 21.4 Å³/atom.